The following is a DFT calculation (PBE-GGA) of crystalline Li2RuO5 at its relaxed geometry.

The structure in POSCAR format:
```
Li2RuO5
1.0
1.898 -5.081 0.000
1.898 5.081 0.000
0.000 0.000 10.024
Li Ru O
4 2 10
Cartesian
1.898 3.692 5.559
1.898 3.692 9.477
1.898 -3.692 0.547
1.898 -3.692 4.465
1.898 3.267 2.506
1.898 -3.267 7.518
1.898 4.634 1.268
1.898 4.634 3.744
1.898 2.060 1.093
1.898 2.060 3.919
1.898 1.943 7.518
1.898 -1.943 2.506
1.898 -2.060 6.105
1.898 -2.060 8.930
1.898 -4.634 6.280
1.898 -4.634 8.755
```

Values from the calculation:
* space-group type: Cmcm (63)
* volume: 12.08 Å³/atom
* raw formation energy: -0.972 eV/atom
* M_tot: 0.0 Bohr magnetons per cell

***

The following is a DFT calculation (PBE-GGA) of crystalline ZrBRh3 at its relaxed geometry.

The structure in POSCAR format:
```
ZrBRh3
1.0
4.788 0.000 0.000
0.000 4.788 0.000
0.000 0.000 4.788
Zr B Rh
1 1 3
Cartesian
0.000 0.000 0.000
2.394 2.394 2.394
0.000 0.000 2.394
0.000 2.394 0.000
2.394 0.000 0.000
```

Values from the calculation:
* space-group type: Pm-3m (221)
* volume: 21.95 Å³/atom
* ΔE_f: 1.8179 eV per atom
* M_tot: 0.0 Bohr magnetons per cell